Below is Zr2IrCl after structural relaxation, with properties calculated at the PBE-GGA level.

extended XYZ file:
```
4
Lattice="-1.5780 2.2554 5.3923 1.5780 -2.2554 5.3923 1.5780 2.2554 -5.3923" Properties=species:S:1:pos:R:3 pbc="T T T"
Zr 0.0000 0.0000 0.0000
Zr 0.0000 2.2554 2.5008
Ir 1.5780 0.0000 2.5275
Cl 0.0000 0.0000 5.4939
```

excess energy over the best structure of this formula in the dataset: 413.6 meV/atom
SG: Imm2 (44)